Record 1
Material: La2InI2
Method: DFT, GGA-PBE
State: optimized geometry

Structure (CIF):
```
data_La2InI2
_cell_length_a 4.8848
_cell_length_b 4.8848
_cell_length_c 15.7543
_cell_angle_alpha 90.00
_cell_angle_beta 90.00
_cell_angle_gamma 90.00
_space_group_name_H-M_alt 'I 4/m m m'
_space_group_IT_number 139
_space_group_name_Hall '-I 4 2'
loop_
_atom_site_label
_atom_site_type_symbol
_atom_site_fract_x
_atom_site_fract_y
_atom_site_fract_z
_atom_site_occupancy
La1 La 0.0000 0.0000 0.1122 1
In1 In 0.0000 0.0000 0.5000 1
I1 I 0.0000 0.5000 0.2500 1
```

**Raw formation energy**: -55.0 kJ per mole of atoms

Record 2
Material: Y2GaBiRu
Method: DFT, GGA-PBE
State: optimized geometry

Structure (CIF):
```
data_Y2GaBiRu
_cell_length_a 5.2706
_cell_length_b 5.2706
_cell_length_c 4.9888
_cell_angle_alpha 90.00
_cell_angle_beta 90.00
_cell_angle_gamma 90.00
_space_group_name_H-M_alt 'P 4/m m m'
_space_group_IT_number 123
_space_group_name_Hall '-P 4 2'
loop_
_atom_site_label
_atom_site_type_symbol
_atom_site_fract_x
_atom_site_fract_y
_atom_site_fract_z
_atom_site_occupancy
Y1 Y 0.0000 0.5000 0.0000 1
Ga1 Ga 0.0000 0.0000 0.0000 1
Bi1 Bi 0.0000 0.0000 0.5000 1
Ru1 Ru 0.5000 0.5000 0.5000 1
```

**Energy relative to the elements**: 70.9 kJ/mol of atoms